--- A ---
This record from Alexandria describes a relaxed Nd2YRh3 crystal. The functional is PBE.

Cell: 4.128 5.746 6.965 Å, 114.36 107.24 90.00°
Sites, in units of the cell vectors:
Nd (0.668, 0.168, 0.337)
Y (0.000, 0.500, 0.000)
Nd (0.332, 0.832, 0.663)
Rh (0.000, 0.000, 0.000)
Rh (0.341, 0.341, 0.682)
Rh (0.659, 0.659, 0.318)

Space group = Immm
N(E_F) = 0.166 states/eV/atom

---

--- B ---
This record from Alexandria describes a relaxed Nd2YRh3 crystal. The functional is PBE.

Cell: 7.771 7.771 7.170 Å, 90.00 90.00 143.23°
Sites, in units of the cell vectors:
Y (0.332, 0.668, 0.000)
Rh (0.500, 0.500, 0.245)
Nd (0.000, 0.000, 0.500)
Nd (0.000, 0.000, 0.000)
Y (0.668, 0.332, 0.000)
Nd (0.333, 0.667, 0.500)
Rh (0.168, 0.832, 0.242)
Rh (0.168, 0.832, 0.758)
Nd (0.667, 0.333, 0.500)
Rh (0.832, 0.168, 0.758)
Rh (0.500, 0.500, 0.755)
Rh (0.832, 0.168, 0.242)

Space group = Cmmm
N(E_F) = 0.822 states/eV/atom

---

Short version: B, A, most stable first.

---

--- A ---
This record from Alexandria describes a relaxed Nd2Y2Rh3 crystal. The functional is PBE.

Cell: 4.429 6.039 7.502 Å, 99.37 89.92 111.52°
Sites, in units of the cell vectors:
Rh (0.804, 0.609, 0.267)
Y (0.362, 0.725, 0.073)
Y (0.638, 0.275, 0.927)
Nd (0.868, 0.735, 0.644)
Nd (0.132, 0.265, 0.356)
Rh (0.196, 0.391, 0.733)
Rh (0.000, 0.000, 0.000)

Space group = P-1
N(E_F) = 0.482 states/eV/atom

---

--- B ---
This record from Alexandria describes a relaxed Nd2Y2Rh3 crystal. The functional is PBE.

Cell: 7.575 7.575 7.575 Å, 109.47 109.47 109.47°
Sites, in units of the cell vectors:
Rh (0.158, 0.408, 0.250)
Nd (0.875, 0.500, 0.000)
Rh (0.750, 0.658, 0.408)
Y (0.387, 0.500, 0.000)
Rh (0.250, 0.842, 0.092)
Nd (0.000, 0.000, 0.375)
Rh (0.592, 0.750, 0.842)
Nd (0.625, 0.125, 0.125)
Y (0.500, 0.887, 0.500)
Rh (0.342, 0.092, 0.750)
Y (0.000, 0.000, 0.887)
Y (0.113, 0.613, 0.613)
Rh (0.908, 0.250, 0.658)
Nd (0.500, 0.375, 0.500)

Space group = I2_13
N(E_F) = 0.482 states/eV/atom

---

Short version: B, A, most stable first.

---

--- A ---
This record from Alexandria describes a relaxed Nd2YRh2 crystal. The functional is PBE.

Cell: 4.763 4.763 6.827 Å, 69.54 69.54 59.95°
Sites, in units of the cell vectors:
Rh (0.615, 0.115, 0.156)
Nd (0.220, 0.720, 0.338)
Nd (0.780, 0.280, 0.662)
Y (0.000, 0.500, 0.000)
Rh (0.385, 0.885, 0.844)

Space group = R-3m
N(E_F) = 0.496 states/eV/atom

---

--- B ---
This record from Alexandria describes a relaxed Nd2YRh2 crystal. The functional is PBE.

Cell: 3.893 6.835 10.198 Å, 91.75 79.00 73.45°
Sites, in units of the cell vectors:
Rh (0.132, 0.858, 0.878)
Nd (0.414, 0.245, 0.927)
Rh (0.868, 0.142, 0.122)
Nd (0.852, 0.605, 0.691)
Nd (0.586, 0.755, 0.073)
Y (0.844, 0.950, 0.362)
Rh (0.567, 0.311, 0.555)
Rh (0.433, 0.689, 0.445)
Nd (0.148, 0.395, 0.309)
Y (0.156, 0.050, 0.638)

Space group = C2/m
N(E_F) = 0.838 states/eV/atom

---

Short version: B, A, most stable first.

---

--- A ---
This record from Alexandria describes a relaxed Nd2Zn2Rh crystal. The functional is PBE.

Cell: 3.997 5.953 10.675 Å, 88.04 79.21 70.38°
Sites, in units of the cell vectors:
Zn (0.961, 0.661, 0.416)
Rh (0.581, 0.146, 0.693)
Nd (0.291, 0.777, 0.642)
Nd (0.088, 0.705, 0.118)
Nd (0.912, 0.295, 0.882)
Nd (0.709, 0.223, 0.358)
Zn (0.626, 0.861, 0.887)
Zn (0.374, 0.139, 0.113)
Zn (0.039, 0.339, 0.584)
Rh (0.419, 0.854, 0.307)

Space group = C2/m
N(E_F) = 0.704 states/eV/atom

---

--- B ---
This record from Alexandria describes a relaxed Nd2Zn2Rh crystal. The functional is PBE.

Cell: 3.986 5.784 10.851 Å, 93.53 79.42 69.84°
Sites, in units of the cell vectors:
Rh (0.387, 0.915, 0.311)
Zn (0.366, 0.158, 0.109)
Nd (0.336, 0.667, 0.661)
Zn (0.873, 0.803, 0.452)
Nd (0.072, 0.734, 0.122)
Nd (0.928, 0.266, 0.878)
Nd (0.664, 0.333, 0.339)
Zn (0.127, 0.197, 0.548)
Zn (0.634, 0.842, 0.891)
Rh (0.613, 0.085, 0.689)

Space group = C2/m
N(E_F) = 0.652 states/eV/atom

---

Short version: B, A, most stable first.

---

--- A ---
This record from Alexandria describes a relaxed Nd2ZnRh3 crystal. The functional is PBE.

Cell: 4.529 5.420 6.173 Å, 116.04 111.52 90.00°
Sites, in units of the cell vectors:
Rh (0.371, 0.371, 0.741)
Nd (0.314, 0.814, 0.628)
Zn (0.000, 0.500, 0.000)
Rh (0.629, 0.629, 0.259)
Rh (0.000, 0.000, 0.000)
Nd (0.686, 0.186, 0.372)

Space group = Immm
N(E_F) = 0.501 states/eV/atom

---

--- B ---
This record from Alexandria describes a relaxed Nd2ZnRh3 crystal. The functional is PBE.

Cell: 5.622 5.622 8.284 Å, 90.00 90.00 120.00°
Sites, in units of the cell vectors:
Rh (0.166, 0.333, 0.250)
Nd (0.667, 0.333, 0.439)
Zn (0.000, 0.000, 0.000)
Nd (0.667, 0.333, 0.061)
Zn (0.000, 0.000, 0.500)
Rh (0.333, 0.166, 0.750)
Nd (0.333, 0.667, 0.561)
Rh (0.834, 0.166, 0.750)
Nd (0.333, 0.667, 0.939)
Rh (0.834, 0.667, 0.750)
Rh (0.667, 0.834, 0.250)
Rh (0.166, 0.834, 0.250)

Space group = P6_3/mmc
N(E_F) = 0.592 states/eV/atom

---

Short version: B, A, most stable first.

---

--- A ---
This record from Alexandria describes a relaxed Nd3Zn2Rh3 crystal. The functional is PBE.

Cell: 4.115 6.248 14.143 Å, 90.00 90.00 109.23°
Sites, in units of the cell vectors:
Rh (0.337, 0.675, 0.250)
Rh (0.397, 0.794, 0.954)
Zn (0.774, 0.549, 0.580)
Rh (0.663, 0.325, 0.750)
Nd (0.927, 0.853, 0.389)
Zn (0.774, 0.549, 0.920)
Nd (0.927, 0.853, 0.111)
Nd (0.655, 0.311, 0.250)
Rh (0.603, 0.206, 0.454)
Nd (0.345, 0.689, 0.750)
Rh (0.603, 0.206, 0.046)
Rh (0.397, 0.794, 0.546)
Nd (0.073, 0.147, 0.611)
Zn (0.226, 0.451, 0.080)
Nd (0.073, 0.147, 0.889)
Zn (0.226, 0.451, 0.420)

Space group = Cmcm
N(E_F) = 0.636 states/eV/atom

---

--- B ---
This record from Alexandria describes a relaxed Nd3Zn2Rh3 crystal. The functional is PBE.

Cell: 5.706 8.260 8.260 Å, 120.00 90.00 90.00°
Sites, in units of the cell vectors:
Rh (0.250, 0.000, 0.397)
Nd (0.250, 0.000, 0.727)
Rh (0.250, 0.397, 0.000)
Rh (0.750, 0.603, 0.000)
Zn (0.500, 0.667, 0.333)
Nd (0.250, 0.727, 0.000)
Zn (0.500, 0.333, 0.667)
Nd (0.750, 0.727, 0.727)
Rh (0.750, 0.397, 0.397)
Nd (0.750, 0.273, 0.000)
Rh (0.750, 0.000, 0.603)
Rh (0.250, 0.603, 0.603)
Nd (0.750, 0.000, 0.273)
Nd (0.250, 0.273, 0.273)
Zn (0.000, 0.333, 0.667)
Zn (0.000, 0.667, 0.333)

Space group = P6_3/mcm
N(E_F) = 0.610 states/eV/atom

---

Short version: A, B, most stable first.

---

--- A ---
This record from Alexandria describes a relaxed Nd3Ru2 crystal. The functional is PBE.

Cell: 4.918 7.850 10.495 Å, 90.86 90.00 108.26°
Sites, in units of the cell vectors:
Ru (0.667, 0.334, 0.498)
Ru (0.668, 0.336, 0.164)
Ru (0.333, 0.666, 0.502)
Nd (0.501, 0.003, 0.334)
Nd (0.500, 0.000, 0.000)
Ru (0.332, 0.664, 0.836)
Nd (0.163, 0.326, 0.659)
Nd (0.833, 0.665, 0.009)
Ru (0.000, 0.999, 0.833)
Nd (0.499, 0.997, 0.666)
Nd (0.830, 0.660, 0.675)
Nd (0.167, 0.335, 0.991)
Nd (0.170, 0.340, 0.325)
Ru (0.000, 0.001, 0.167)
Nd (0.837, 0.674, 0.341)

Space group = C2/m
N(E_F) = 0.795 states/eV/atom

---

--- B ---
This record from Alexandria describes a relaxed Nd3Ru2 crystal. The functional is PBE.

Cell: 7.065 7.065 7.572 Å, 62.19 62.19 60.00°
Sites, in units of the cell vectors:
Nd (0.408, 0.092, 0.750)
Nd (0.250, 0.592, 0.250)
Ru (0.171, 0.171, 0.487)
Nd (0.750, 0.408, 0.750)
Ru (0.829, 0.829, 0.513)
Ru (0.329, 0.329, 0.013)
Nd (0.592, 0.908, 0.250)
Nd (0.908, 0.250, 0.250)
Nd (0.092, 0.750, 0.750)
Ru (0.671, 0.671, 0.987)

Space group = R-3c
N(E_F) = 0.455 states/eV/atom

---

Short version: A, B, most stable first.

---

--- A ---
This record from Alexandria describes a relaxed Nd3SbRu crystal. The functional is PBE.

Cell: 7.847 8.747 8.747 Å, 80.39 90.01 90.01°
Sites, in units of the cell vectors:
Sb (0.750, 0.667, 0.333)
Sb (0.250, 0.333, 0.667)
Nd (0.805, 0.428, 0.072)
Nd (0.903, 0.310, 0.471)
Nd (0.597, 0.529, 0.690)
Nd (0.195, 0.572, 0.928)
Ru (0.621, 0.198, 0.302)
Ru (0.879, 0.698, 0.802)
Nd (0.097, 0.970, 0.810)
Ru (0.379, 0.802, 0.698)
Nd (0.903, 0.030, 0.190)
Nd (0.097, 0.690, 0.529)
Sb (0.250, 0.833, 0.167)
Ru (0.121, 0.302, 0.198)
Nd (0.403, 0.471, 0.310)
Nd (0.403, 0.190, 0.030)
Sb (0.750, 0.167, 0.833)
Nd (0.695, 0.928, 0.572)
Nd (0.597, 0.810, 0.970)
Nd (0.305, 0.072, 0.428)

Space group = Cmce
N(E_F) = 0.768 states/eV/atom

---

--- B ---
This record from Alexandria describes a relaxed Nd3SbRu crystal. The functional is PBE.

Cell: 5.411 5.411 5.411 Å, 90.00 90.00 90.00°
Sites, in units of the cell vectors:
Nd (0.000, 0.500, 0.000)
Sb (0.500, 0.500, 0.500)
Nd (0.500, 0.000, 0.000)
Ru (0.000, 0.000, 0.000)
Nd (0.000, 0.000, 0.500)

Space group = Pm-3m
N(E_F) = 0.914 states/eV/atom

---

Short version: A, B, most stable first.